Computed, not measured: a relaxed structure of PrZr2VO8 at the PBE with a Hubbard U level of DFT.

a = 4.930 Å, b = 4.927 Å, c = 6.630 Å
α = 90.00°, β = 90.00°, γ = 88.19°
Fractional positions:
Pr (0.000, 0.000, 0.500)
Zr (0.500, 0.500, 0.759)
Zr (0.500, 0.500, 0.241)
V (0.000, 0.000, 0.000)
O (0.192, 0.808, 0.202)
O (0.709, 0.709, 0.000)
O (0.808, 0.192, 0.202)
O (0.808, 0.192, 0.798)
O (0.291, 0.291, 0.000)
O (0.192, 0.808, 0.798)
O (0.675, 0.676, 0.500)
O (0.325, 0.324, 0.500)

## Properties
Magnetic moment: 0.00 μB/f.u.
E: -102.6 eV/cell